Entry 1
ZrPCl, relaxed, DFT PBE; DOS(E_F) = 1.123 states/eV/cell; symmetry = Cm (8); total moment = 0.0000 μB/atom
1.0
11.1749 -1.7628 0.0000
11.1749 1.7628 0.0000
-0.5423 0.0000 3.4837
Zr P Cl
2 2 2
Cartesian
0.0000 0.0000 0.0000
14.5572 0.0000 2.3100
2.6828 0.0000 0.4171
11.8745 0.0000 1.8931
5.2902 0.0000 2.6055
20.1709 0.0000 1.4443

Entry 2
ZrPCl, relaxed, DFT PBE; DOS(E_F) = 0.617 states/eV/cell; symmetry = P-6m2 (187); total moment = 0.0000 μB/atom
1.0
4.3845 0.0000 0.0000
-2.1923 3.7971 0.0000
0.0000 0.0000 3.3418
Zr P Cl
1 1 1
Cartesian
0.0000 0.0000 0.0000
2.1923 1.2657 1.6709
0.0000 2.5314 0.0000

Entry 3
ZrPCl, relaxed, DFT PBE; DOS(E_F) = 0.255 states/eV/cell; symmetry = F-43m (216); total moment = 0.0000 μB/atom
1.0
0.0000 3.1973 3.1973
3.1973 0.0000 3.1973
3.1973 3.1973 0.0000
Zr P Cl
1 1 1
Cartesian
0.0000 0.0000 0.0000
4.7960 4.7960 4.7960
3.1973 3.1973 3.1973

It comes down to entry 1, which is 608 meV per atom more stable than the next structure.